Record 1
Below is a geometry-optimized MgCoPb2 structure, with properties calculated at the PBE level.

The structure in POSCAR format:
```
MgCoPb2
1.0
-3.018 2.279 -3.421
-0.728 -2.129 -4.577
-4.523 -2.044 -1.171
Mg Pb Co
1 2 1
direct
0.750 0.750 0.750
0.250 0.250 0.250
0.000 0.000 0.000
0.500 0.500 0.500
```

Calculated values
**Calculated formation energy**: 507 meV/atom

***

Record 2
Below is a geometry-optimized Ac6Zn2In structure, with properties calculated at the PBE level.

The structure in POSCAR format:
```
Ac6Zn2In
1.0
-5.389 -7.628 1.922
-2.228 4.329 -8.199
9.115 -2.586 -1.075
In Ac Zn
2 12 4
direct
0.000 0.500 0.500
0.000 0.000 0.000
0.192 0.761 0.953
0.303 0.629 0.326
0.697 0.371 0.674
0.808 0.761 0.569
0.697 0.023 0.326
0.462 0.280 0.182
0.902 0.720 0.182
0.538 0.720 0.818
0.192 0.239 0.431
0.098 0.280 0.818
0.303 0.977 0.674
0.808 0.239 0.047
0.500 0.386 0.886
0.344 0.000 0.344
0.500 0.614 0.114
0.656 0.000 0.656
```

Calculated values
**Calculated formation energy**: -180 meV/atom

***

Record 3
Below is a geometry-optimized KCdW2 structure, with properties calculated at the PBE level.

The structure in POSCAR format:
```
KCdW2
1.0
-2.919 5.692 9.384
-2.806 3.072 10.568
-0.415 4.657 10.350
K W Cd
1 2 1
direct
0.749 0.749 0.749
0.253 0.253 0.253
0.990 0.990 0.990
0.509 0.509 0.509
```

Calculated values
**Calculated formation energy**: 839 meV/atom

***

Record 4
Below is a geometry-optimized K3Tm3GeTe8 structure, with properties calculated at the PBE level.

The structure in POSCAR format:
```
K3Tm3GeTe8
1.0
-2.172 -0.940 8.327
-0.391 -6.795 -5.369
9.043 2.905 2.687
Te Ge Tm K
8 1 3 3
direct
0.736 0.472 0.708
0.264 0.528 0.292
0.773 0.545 0.303
0.773 0.030 0.303
0.227 0.455 0.697
0.258 0.030 0.303
0.742 0.970 0.697
0.227 0.970 0.697
0.000 0.000 0.500
0.500 0.500 0.500
0.000 0.500 0.500
0.500 0.000 0.500
0.000 0.000 0.000
0.500 0.500 0.000
0.000 0.500 0.000
```

Calculated values
**Formation energy from raw total energies**: -1.0348 eV/atom

***

Record 5
Below is a geometry-optimized Sm2HgPd structure, with properties calculated at the PBE level.

The structure in POSCAR format:
```
Sm2HgPd
1.0
-0.495 4.113 -0.099
-1.925 1.778 -3.210
-7.507 1.244 2.516
Sm Pd Hg
2 1 1
direct
0.071 0.071 0.786
0.262 0.262 0.213
0.666 0.666 0.003
0.501 0.501 0.498
```

Calculated values
**Calculated formation energy**: -512 meV/atom

***

Record 6
Below is a geometry-optimized Pr6As5Cl structure, with properties calculated at the PBE level.

The structure in POSCAR format:
```
Pr6As5Cl
1.0
7.342 0.184 1.118
1.808 6.246 3.641
0.124 0.071 7.442
Pr As Cl
6 5 1
direct
0.744 0.085 0.346
0.744 0.431 0.654
0.256 0.569 0.346
0.742 0.740 0.000
0.256 0.915 0.654
0.258 0.260 0.000
0.000 0.667 0.666
0.500 0.500 0.000
0.500 0.836 0.328
0.000 0.333 0.334
0.500 0.164 0.672
0.000 0.000 0.000
```

Calculated values
**Formation energy from raw total energies**: -1.5680 eV/atom

***

Magnetization, record by record: 1.53 0.00 0.00 0.00 0.00 0.00 μB/f.u.
D(E_F), record by record: 5.19 23.05 3.89 5.03 4.13 2.82 states/eV per cell